DFT (PBE) results for crystalline NaHg4Bi at its relaxed geometry.

POSCAR file:
```
NaHg4Bi
1.0
-4.515 3.226 -2.571
-5.786 -0.892 1.767
-2.908 4.302 3.231
Bi Hg Na
1 4 1
direct
0.250 0.250 0.250
0.625 0.125 0.625
0.625 0.625 0.625
0.125 0.625 0.625
0.625 0.625 0.125
0.000 0.000 0.000
```

## Properties
energy of formation from the pure elements	-0.01	eV/atom
SG	No. 216
crystal system	cubic
energy above the most stable polymorph in this dataset	0.22	eV/f.u.



DFT (PBE) results for crystalline V3FeW at its relaxed geometry.

POSCAR file:
```
V3FeW
1.0
4.556 0.000 0.000
0.000 4.556 0.000
0.000 0.000 4.556
V Fe W
3 1 1
direct
0.500 0.000 0.000
0.000 0.500 0.000
0.000 0.000 0.500
0.500 0.500 0.500
0.000 0.000 0.000
```

## Properties
energy of formation from the pure elements	1.62	eV/atom
SG	No. 221
crystal system	cubic
energy above the most stable polymorph in this dataset	7.48	eV/f.u.



DFT (PBE) results for crystalline Ho8Er6Al at its relaxed geometry.

POSCAR file:
```
Ho8Er6Al
1.0
5.615 0.000 0.000
0.000 8.496 -4.905
0.000 0.000 9.811
Ho Er Al
8 6 1
direct
0.236 0.784 0.052
0.236 0.268 0.216
0.764 0.732 0.784
0.236 0.948 0.732
0.764 0.216 0.948
0.239 0.667 0.333
0.764 0.052 0.268
0.761 0.333 0.667
0.739 0.617 0.093
0.261 0.383 0.907
0.739 0.907 0.524
0.739 0.476 0.383
0.261 0.524 0.617
0.261 0.093 0.476
0.500 0.000 0.000
```

## Properties
energy of formation from the pure elements	0.09	eV/atom
SG	No. 147
crystal system	trigonal



DFT (PBE) results for crystalline CaTa3Te at its relaxed geometry.

POSCAR file:
```
CaTa3Te
1.0
-1.643 4.559 0.456
-3.199 -1.488 3.352
3.280 0.831 3.499
Ta Te Ca
3 1 1
direct
0.000 0.000 0.500
0.000 0.500 0.000
0.500 0.000 0.000
0.500 0.500 0.500
0.000 0.000 0.000
```

## Properties
ΔE_f (raw)	2.46	eV per atom
SG	No. 221
crystal system	cubic
energy above the most stable polymorph in this dataset	5.25	eV/f.u.



DFT (PBE) results for crystalline K2NdSmO4 at its relaxed geometry.

POSCAR file:
```
K2NdSmO4
1.0
-0.404 0.559 3.549
-4.066 -4.756 0.286
6.099 -2.401 1.073
Nd Sm O K
1 1 4 2
direct
0.000 0.000 0.000
0.500 0.500 0.000
0.500 0.233 0.191
0.000 0.727 0.190
0.500 0.767 0.809
0.000 0.273 0.810
0.000 0.500 0.500
0.500 0.000 0.500
```

## Properties
ΔE_f (raw)	-2.64	eV per atom
SG	No. 10
crystal system	monoclinic



DFT (PBE) results for crystalline CoHgSb2 at its relaxed geometry.

POSCAR file:
```
CoHgSb2
1.0
10.011 0.456 -0.117
8.828 4.743 0.117
-9.383 -2.731 2.223
Sb Co Hg
2 1 1
direct
0.344 0.844 0.500
0.021 0.021 0.000
0.449 0.449 0.000
0.685 0.185 0.500
```

## Properties
ΔE_f (raw)	0.10	eV per atom
SG	No. 44
crystal system	orthorhombic



DFT (PBE) results for crystalline MnTc2Ag at its relaxed geometry.

POSCAR file:
```
MnTc2Ag
1.0
-5.746 3.034 6.529
-6.504 0.420 6.510
-4.378 1.210 8.013
Tc Ag Mn
2 1 1
direct
0.009 0.009 0.009
0.491 0.491 0.491
0.250 0.250 0.250
0.750 0.750 0.750
```

## Properties
energy of formation from the pure elements	0.30	eV/atom
SG	No. 166
crystal system	trigonal
energy above the most stable polymorph in this dataset	0.23	eV/f.u.